Here is a crystal of NaCa3Ir relaxed with PBEsol from the Alexandria database. Energies are from meta-GGA SCAN.

abc: 5.5196 5.5196 5.5196
angles: 90.00 90.00 90.00
Element x y z (fractional)
Na (0.0000, 0.0000, 0.0000)
Ca (0.0000, 0.5000, 0.5000)
Ca (0.5000, 0.0000, 0.5000)
Ca (0.5000, 0.5000, 0.0000)
Ir (0.5000, 0.5000, 0.5000)

Calculated values
M_tot	0.000	μB per cell
DOS(E_F)	2.5	states/eV/cell
formation energy	-23.2	kJ per mole of atoms